Here is a relaxed NaSb3P crystal from Alexandria via LeMat-Bulk. Energies are from GGA-PBEsol.

Results
Volume ... 29.06 A^3/atom
E_form (uncorrected) ... 156 kJ/mol of formula units
Symmetry ... Pm-3m

Cell lengths 5.2573, 5.2573, 5.2573 Å; angles 90.00, 90.00, 90.00 degrees
Closest atoms and distances in Å follow each position.
Fractional positions:
Na (0.5000, 0.5000, 0.5000)  12 Sb 3.72
Sb (0.5000, 0.0000, 0.0000)  2 P 2.63
Sb (0.0000, 0.0000, 0.5000)  2 P 2.63
Sb (0.0000, 0.5000, 0.0000)  2 P 2.63
P (0.0000, 0.0000, 0.0000)  6 Sb 2.63